Li2Mg4Ge | PBE-GGA | relaxed

Lattice parameters (Å, degrees): 5.109 5.109 7.996 71.37 71.37 90.00
Positions (direct):
1 Mg 0.808 0.808 0.385
2 Mg 0.192 0.192 0.615
3 Ge 0.000 0.000 0.000
4 Mg 0.500 0.000 0.000
5 Li 0.389 0.389 0.223
6 Li 0.611 0.611 0.777
7 Mg 0.000 0.500 0.000

ΔH_f (0 K) ... 224.2 meV/atom
Total DFT energy (no corrections) ... -13.25 eV per cell
Size of the total moment ... 0.00 μB per formula unit
Symmetry ... I4/mmm